[1]
This record from the Open Quantum Materials Database describes a relaxed ReTcSn crystal. The functional is PBE.

Energy relative to the lowest polymorph listed for this composition in eV per atom: 0.000
Raw total energy in Ha/atom: -0.3150
M_tot in Bohr magnetons per cell: 0.00

Cell: 6.109 6.109 6.109 Å, 90.00 90.00 90.00°
Space group F-43m (No. 216)
Inequivalent atoms, fractional coordinates:
Re  0.000  0.000  0.000 (multiplicity 4)
Tc  0.250  0.250  0.250 (multiplicity 4)
Sn  0.000  0.000  0.500 (multiplicity 4)

---

[2]
This record from the Open Quantum Materials Database describes a relaxed Re2TcSn crystal. The functional is PBE.

Raw total energy in Ha/atom: -0.3454
M_tot in Bohr magnetons per cell: 0.01

Cell: 6.344 6.344 6.344 Å, 90.00 90.00 90.00°
Space group F-43m (No. 216)
Inequivalent atoms, fractional coordinates:
Re  0.000  0.000  0.000 (multiplicity 4)
Re  0.250  0.250  0.250 (multiplicity 4)
Tc  0.250  0.250  0.750 (multiplicity 4)
Sn  0.000  0.000  0.500 (multiplicity 4)

---

[3]
This record from the Open Quantum Materials Database describes a relaxed Tl2ReSn2 crystal. The functional is PBE.

Raw total energy in Ha/atom: -0.1441
M_tot in Bohr magnetons per cell: 1.84

Cell: 7.022 12.631 14.285 Å, 90.00 90.00 90.00°
Space group Fddd (No. 70, origin choice 2)
Inequivalent atoms, fractional coordinates:
Tl  0.000  0.000  0.000 (multiplicity 16)
Re  0.125  0.125  0.125 (multiplicity 8)
Sn  0.125  0.125  0.521 (multiplicity 16)

---

[4]
This record from the Open Quantum Materials Database describes a relaxed UReSn crystal. The functional is PBE.

Raw total energy in Ha/atom: -0.3260
M_tot in Bohr magnetons per cell: 9.44

Cell: 6.565 6.565 6.565 Å, 90.00 90.00 90.00°
Space group F-43m (No. 216)
Inequivalent atoms, fractional coordinates:
U  0.000  0.000  0.000 (multiplicity 4)
Re  0.250  0.250  0.250 (multiplicity 4)
Sn  0.000  0.000  0.500 (multiplicity 4)

---

[5]
This record from the Open Quantum Materials Database describes a relaxed UReSn crystal. The functional is PBE.

Raw total energy in Ha/atom: -0.2971
M_tot in Bohr magnetons per cell: 1.56

Cell: 6.678 6.678 6.678 Å, 90.00 90.00 90.00°
Space group F-43m (No. 216)
Inequivalent atoms, fractional coordinates:
U  0.000  0.000  0.000 (multiplicity 4)
Re  0.250  0.250  0.750 (multiplicity 4)
Sn  0.250  0.250  0.250 (multiplicity 4)

---

[6]
This record from the Open Quantum Materials Database describes a relaxed Re2SnW crystal. The functional is PBE.

Raw total energy in Ha/atom: -0.3620
M_tot in Bohr magnetons per cell: 0.02

Cell: 6.407 6.407 6.407 Å, 90.00 90.00 90.00°
Space group F-43m (No. 216)
Inequivalent atoms, fractional coordinates:
Re  0.000  0.000  0.000 (multiplicity 4)
Re  0.250  0.250  0.250 (multiplicity 4)
Sn  0.000  0.000  0.500 (multiplicity 4)
W  0.250  0.250  0.750 (multiplicity 4)

---

[7]
This record from the Open Quantum Materials Database describes a relaxed YReSn2 crystal. The functional is PBE.

Raw total energy in Ha/atom: -0.2338
M_tot in Bohr magnetons per cell: 1.57

Cell: 7.065 7.065 7.065 Å, 90.00 90.00 90.00°
Space group F-43m (No. 216)
Inequivalent atoms, fractional coordinates:
Y  0.000  0.000  0.000 (multiplicity 4)
Re  0.250  0.250  0.750 (multiplicity 4)
Sn  0.000  0.000  0.500 (multiplicity 4)
Sn  0.250  0.250  0.250 (multiplicity 4)

---

[8]
This record from the Open Quantum Materials Database describes a relaxed YReSn crystal. The functional is PBE.

Raw total energy in Ha/atom: -0.2686
M_tot in Bohr magnetons per cell: 0.02

Cell: 6.627 6.627 6.627 Å, 90.00 90.00 90.00°
Space group F-43m (No. 216)
Inequivalent atoms, fractional coordinates:
Y  0.000  0.000  0.000 (multiplicity 4)
Re  0.250  0.250  0.750 (multiplicity 4)
Sn  0.000  0.000  0.500 (multiplicity 4)

---

[9]
This record from the Open Quantum Materials Database describes a relaxed Y2ReSn crystal. The functional is PBE.

Raw total energy in Ha/atom: -0.2671
M_tot in Bohr magnetons per cell: 0.12

Cell: 7.040 7.040 7.040 Å, 90.00 90.00 90.00°
Space group F-43m (No. 216)
Inequivalent atoms, fractional coordinates:
Y  0.000  0.000  0.000 (multiplicity 4)
Y  0.250  0.250  0.250 (multiplicity 4)
Re  0.250  0.250  0.750 (multiplicity 4)
Sn  0.000  0.000  0.500 (multiplicity 4)

---

[10]
This record from the Open Quantum Materials Database describes a relaxed YReSn crystal. The functional is PBE.

Raw total energy in Ha/atom: -0.2390
M_tot in Bohr magnetons per cell: 1.85

Cell: 6.796 6.796 6.796 Å, 90.00 90.00 90.00°
Space group F-43m (No. 216)
Inequivalent atoms, fractional coordinates:
Y  0.000  0.000  0.000 (multiplicity 4)
Re  0.250  0.250  0.750 (multiplicity 4)
Sn  0.250  0.250  0.250 (multiplicity 4)

---

[11]
This record from the Open Quantum Materials Database describes a relaxed ZnReSn2 crystal. The functional is PBE.

Raw total energy in Ha/atom: -0.1690
M_tot in Bohr magnetons per cell: 2.57

Cell: 6.786 6.786 6.786 Å, 90.00 90.00 90.00°
Space group F-43m (No. 216)
Inequivalent atoms, fractional coordinates:
Zn  0.000  0.000  0.000 (multiplicity 4)
Re  0.250  0.250  0.750 (multiplicity 4)
Sn  0.000  0.000  0.500 (multiplicity 4)
Sn  0.250  0.250  0.250 (multiplicity 4)

---

[12]
This record from the Open Quantum Materials Database describes a relaxed Zn2ReSn crystal. The functional is PBE.

Raw total energy in Ha/atom: -0.1533
M_tot in Bohr magnetons per cell: 0.02

Cell: 6.434 6.434 6.434 Å, 90.00 90.00 90.00°
Space group F-43m (No. 216)
Inequivalent atoms, fractional coordinates:
Zn  0.000  0.000  0.000 (multiplicity 4)
Zn  0.250  0.250  0.250 (multiplicity 4)
Re  0.250  0.250  0.750 (multiplicity 4)
Sn  0.000  0.000  0.500 (multiplicity 4)

---

[13]
This record from the Open Quantum Materials Database describes a relaxed ZnRe2Sn crystal. The functional is PBE.

Raw total energy in Ha/atom: -0.2560
M_tot in Bohr magnetons per cell: 0.02

Cell: 6.365 6.365 6.365 Å, 90.00 90.00 90.00°
Space group F-43m (No. 216)
Inequivalent atoms, fractional coordinates:
Zn  0.000  0.000  0.000 (multiplicity 4)
Re  0.000  0.000  0.500 (multiplicity 4)
Re  0.250  0.250  0.250 (multiplicity 4)
Sn  0.250  0.250  0.750 (multiplicity 4)

---

[14]
This record from the Open Quantum Materials Database describes a relaxed ZrReSn2 crystal. The functional is PBE.

Raw total energy in Ha/atom: -0.2560
M_tot in Bohr magnetons per cell: 0.05

Cell: 6.885 6.885 6.885 Å, 90.00 90.00 90.00°
Space group F-43m (No. 216)
Inequivalent atoms, fractional coordinates:
Zr  0.000  0.000  0.000 (multiplicity 4)
Re  0.250  0.250  0.750 (multiplicity 4)
Sn  0.000  0.000  0.500 (multiplicity 4)
Sn  0.250  0.250  0.250 (multiplicity 4)

---

[15]
This record from the Open Quantum Materials Database describes a relaxed ZrReSn crystal. The functional is PBE.

Raw total energy in Ha/atom: -0.2977
M_tot in Bohr magnetons per cell: 0.00

Cell: 6.462 6.462 6.462 Å, 90.00 90.00 90.00°
Space group F-43m (No. 216)
Inequivalent atoms, fractional coordinates:
Zr  0.000  0.000  0.000 (multiplicity 4)
Re  0.250  0.250  0.750 (multiplicity 4)
Sn  0.000  0.000  0.500 (multiplicity 4)

---

[16]
This record from the Open Quantum Materials Database describes a relaxed ZrReSn crystal. The functional is PBE.

Raw total energy in Ha/atom: -0.2785
M_tot in Bohr magnetons per cell: 0.00

Cell: 6.540 6.540 6.540 Å, 90.00 90.00 90.00°
Space group F-43m (No. 216)
Inequivalent atoms, fractional coordinates:
Zr  0.000  0.000  0.000 (multiplicity 4)
Re  0.250  0.250  0.750 (multiplicity 4)
Sn  0.250  0.250  0.250 (multiplicity 4)

---

[17]
This record from the Open Quantum Materials Database describes a relaxed Sr2Re crystal. The functional is PBE.

Energy relative to the lowest polymorph listed for this composition in eV per atom: 0.000
Raw total energy in Ha/atom: -0.1183
M_tot in Bohr magnetons per cell: 21.43

Cell: 8.970 8.970 8.970 Å, 90.00 90.00 90.00°
Space group Fd-3m (No. 227, origin choice 2)
Inequivalent atoms, fractional coordinates:
Sr  0.000  0.000  0.000 (multiplicity 16)
Re  0.125  0.125  0.625 (multiplicity 8)

---

[18]
This record from the Open Quantum Materials Database describes a relaxed Sr2Re crystal. The functional is PBE.

Energy relative to the lowest polymorph listed for this composition in eV per atom: 0.024
Raw total energy in Ha/atom: -0.1175
M_tot in Bohr magnetons per cell: 8.01

Cell: 12.415 12.415 12.415 Å, 90.00 90.00 90.00°
Space group Fd-3m (No. 227, origin choice 2)
Inequivalent atoms, fractional coordinates:
Sr  0.000  0.000  0.000 (multiplicity 16)
Re  0.125  0.125  0.125 (multiplicity 8)

---

[19]
This record from the Open Quantum Materials Database describes a relaxed SrRe crystal. The functional is PBE.

Energy relative to the lowest polymorph listed for this composition in eV per atom: 1.473
Raw total energy in Ha/atom: -0.1504
M_tot in Bohr magnetons per cell: 12.00

Cell: 6.920 6.920 6.920 Å, 90.00 90.00 90.00°
Space group F-43m (No. 216)
Inequivalent atoms, fractional coordinates:
Sr  0.000  0.000  0.000 (multiplicity 4)
Re  0.250  0.250  0.250 (multiplicity 4)

---

[20]
This record from the Open Quantum Materials Database describes a relaxed SrRe2 crystal. The functional is PBE.

Raw total energy in Ha/atom: -0.3036
M_tot in Bohr magnetons per cell: 0.05

Cell: 7.819 7.819 7.819 Å, 90.00 90.00 90.00°
Space group Fd-3m (No. 227, origin choice 2)
Inequivalent atoms, fractional coordinates:
Sr  0.125  0.125  0.125 (multiplicity 8)
Re  0.000  0.000  0.500 (multiplicity 16)

---

[21]
This record from the Open Quantum Materials Database describes a relaxed Sr2TbRe2 crystal. The functional is PBE.

Energy relative to the lowest polymorph listed for this composition in eV per atom: 0.325
Raw total energy in Ha/atom: -0.2065
M_tot in Bohr magnetons per cell: 0.02

Cell: 4.504 4.504 13.883 Å, 90.00 90.00 90.00°
Space group I4/mmm (No. 139)
Inequivalent atoms, fractional coordinates:
Sr  0.000  0.500  0.250 (multiplicity 4)
Tb  0.000  0.000  0.000 (multiplicity 2)
Re  0.000  0.000  0.422 (multiplicity 4)

---

[22]
This record from the Open Quantum Materials Database describes a relaxed Sr2TbRe2 crystal. The functional is PBE.

Energy relative to the lowest polymorph listed for this composition in eV per atom: 0.000
Raw total energy in Ha/atom: -0.2184
M_tot in Bohr magnetons per cell: 0.03

Cell: 5.052 5.053 12.135 Å, 90.00 101.86 90.00°
Space group Cm (No. 8)
Inequivalent atoms, fractional coordinates:
Sr  0.000  0.000  0.000 (multiplicity 2)
Sr  0.221  0.500  0.466 (multiplicity 2)
Tb  0.365  0.000  0.732 (multiplicity 2)
Re  0.348  0.250  0.234 (multiplicity 4)

---

[23]
This record from the Open Quantum Materials Database describes a relaxed SrThRe crystal. The functional is PBE.

Energy relative to the lowest polymorph listed for this composition in eV per atom: 0.000
Raw total energy in Ha/atom: -0.2385
M_tot in Bohr magnetons per cell: 0.02

Cell: 7.060 7.060 7.060 Å, 90.00 90.00 90.00°
Space group F-43m (No. 216)
Inequivalent atoms, fractional coordinates:
Sr  0.000  0.000  0.000 (multiplicity 4)
Th  0.000  0.000  0.500 (multiplicity 4)
Re  0.250  0.250  0.750 (multiplicity 4)

---

[24]
This record from the Open Quantum Materials Database describes a relaxed SrURe crystal. The functional is PBE.

Energy relative to the lowest polymorph listed for this composition in eV per atom: 0.000
Raw total energy in Ha/atom: -0.2685
M_tot in Bohr magnetons per cell: 5.98

Cell: 6.871 6.871 6.871 Å, 90.00 90.00 90.00°
Space group F-43m (No. 216)
Inequivalent atoms, fractional coordinates:
Sr  0.000  0.000  0.000 (multiplicity 4)
U  0.000  0.000  0.500 (multiplicity 4)
Re  0.250  0.250  0.750 (multiplicity 4)

---

[25]
This record from the Open Quantum Materials Database describes a relaxed Sr2YRe crystal. The functional is PBE.

Raw total energy in Ha/atom: -0.1753
M_tot in Bohr magnetons per cell: 0.04

Cell: 7.633 7.633 7.633 Å, 90.00 90.00 90.00°
Space group F-43m (No. 216)
Inequivalent atoms, fractional coordinates:
Sr  0.000  0.000  0.000 (multiplicity 4)
Sr  0.250  0.250  0.250 (multiplicity 4)
Y  0.250  0.250  0.750 (multiplicity 4)
Re  0.000  0.000  0.500 (multiplicity 4)

---

[26]
This record from the Open Quantum Materials Database describes a relaxed Ta3Re10 crystal. The functional is PBE.

Energy relative to the lowest polymorph listed for this composition in eV per atom: 0.053
Raw total energy in Ha/atom: -0.4494
M_tot in Bohr magnetons per cell: 0.09
DFT formation energy in eV/atom: 0.06

Cell: 5.1153 5.1153 27.5747 Å, 90.00 90.00 120.00°
Space group R-3m (No. 166, hexagonal axes)
Inequivalent atoms, fractional coordinates:
Ta  0.0000  0.0000  0.0000 (multiplicity 3)
Ta  0.0000  0.0000  0.1684 (multiplicity 6)
Re  0.0000  0.0000  0.3473 (multiplicity 6)
Re  0.0000  0.0000  0.4547 (multiplicity 6)
Re  0.0025  0.5013  0.4121 (multiplicity 18)

---

[27]
This record from the Open Quantum Materials Database describes a relaxed TaRe28 crystal. The functional is PBE.

Raw total energy in Ha/atom: -0.4558
M_tot in Bohr magnetons per cell: 0.01
DFT formation energy in eV/atom: 0.00

Cell: 9.592 9.592 9.592 Å, 90.00 90.00 90.00°
Space group I-43m (No. 217)
Inequivalent atoms, fractional coordinates:
Ta  0.000  0.000  0.000 (multiplicity 2)
Re  0.043  0.358  0.642 (multiplicity 24)
Re  0.091  0.091  0.715 (multiplicity 24)
Re  0.180  0.180  0.180 (multiplicity 8)

---

[28]
This record from the Open Quantum Materials Database describes a relaxed Ta2Re11 crystal. The functional is PBE.

Energy relative to the lowest polymorph listed for this composition in eV per atom: 0.183
Raw total energy in Ha/atom: -0.4465
M_tot in Bohr magnetons per cell: 0.01
DFT formation energy in eV/atom: 0.19

Cell: 5.0832 5.0832 27.5096 Å, 90.00 90.00 120.00°
Space group R-3m (No. 166, hexagonal axes)
Inequivalent atoms, fractional coordinates:
Ta  0.0000  0.0000  0.0472 (multiplicity 6)
Re  0.0000  0.0000  0.1504 (multiplicity 6)
Re  0.0000  0.0000  0.3338 (multiplicity 6)
Re  0.0000  0.0000  0.5000 (multiplicity 3)
Re  0.0059  0.5030  0.9103 (multiplicity 18)